(1)
{
  "formula": "AcLa7Al4",
  "functional": "PBE",
  "state": "relaxed",
  "lattice_angstrom": [[7.013, -2.986, 0.000], [7.013, 2.986, 0.000], [-6.298, 0.000, 9.121]],
  "species": ["Ac", "La", "La", "La", "La", "La", "La", "La", "Al", "Al", "Al", "Al"],
  "frac_coords": [[0.000, 0.000, 0.000], [0.066, 0.066, 0.380], [0.206, 0.206, 0.880], [0.306, 0.306, 0.370], [0.500, 0.500, 0.000], [0.694, 0.694, 0.630], [0.794, 0.794, 0.120], [0.934, 0.934, 0.620], [0.321, 0.321, 0.671], [0.450, 0.450, 0.240], [0.550, 0.550, 0.760], [0.679, 0.679, 0.329]],
  "energy_ev_per_cell": -54.431,
  "delta_e_f_mev_per_atom": -72
}

---

(2)
{
  "formula": "Ac2LaAl",
  "functional": "PBE",
  "state": "relaxed",
  "lattice_angstrom": [[5.222, 0.000, 0.000], [0.000, 5.222, 0.000], [0.000, 0.000, 5.052]],
  "species": ["Ac", "Ac", "La", "Al"],
  "frac_coords": [[0.000, 0.500, 0.000], [0.500, 0.000, 0.000], [0.000, 0.000, 0.500], [0.500, 0.500, 0.500]],
  "energy_ev_per_cell": -17.192,
  "delta_e_f_mev_per_atom": -76
}

---

(3)
{
  "formula": "Ac6LaAl2",
  "functional": "PBE",
  "state": "relaxed",
  "lattice_angstrom": [[6.927, -2.019, 0.000], [6.927, 2.019, 0.000], [-4.212, 0.000, 12.266]],
  "species": ["Ac", "Ac", "Ac", "Ac", "Ac", "Ac", "La", "Al", "Al"],
  "frac_coords": [[0.032, 0.032, 0.321], [0.314, 0.314, 0.406], [0.316, 0.316, 0.122], [0.684, 0.684, 0.878], [0.686, 0.686, 0.594], [0.968, 0.968, 0.679], [0.000, 0.000, 0.000], [0.348, 0.348, 0.809], [0.652, 0.652, 0.191]],
  "energy_ev_per_cell": -37.845,
  "delta_e_f_mev_per_atom": -87
}

---

(4)
{
  "formula": "LiAcLaAl",
  "functional": "PBE",
  "state": "relaxed",
  "lattice_angstrom": [[0.000, 3.905, 3.905], [3.905, 0.000, 3.905], [3.905, 3.905, 0.000]],
  "species": ["Li", "Ac", "La", "Al"],
  "frac_coords": [[0.000, 0.000, 0.000], [0.750, 0.750, 0.750], [0.250, 0.250, 0.250], [0.500, 0.500, 0.500]],
  "energy_ev_per_cell": -15.288,
  "delta_e_f_mev_per_atom": -149
}

---

(5)
{
  "formula": "AcLaLuAl",
  "functional": "PBE",
  "state": "relaxed",
  "lattice_angstrom": [[0.000, 3.944, 3.944], [3.944, 0.000, 3.944], [3.944, 3.944, 0.000]],
  "species": ["Ac", "La", "Lu", "Al"],
  "frac_coords": [[0.000, 0.000, 0.000], [0.750, 0.750, 0.750], [0.250, 0.250, 0.250], [0.500, 0.500, 0.500]],
  "energy_ev_per_cell": -17.008,
  "delta_e_f_mev_per_atom": 73
}

---

(6)
{
  "formula": "AcLa12Al4N3",
  "functional": "PBE",
  "state": "relaxed",
  "lattice_angstrom": [[-5.241, 5.241, 5.241], [5.241, -5.241, 5.241], [5.241, 5.241, -5.241]],
  "species": ["Ac", "La", "La", "La", "La", "La", "La", "La", "La", "La", "La", "La", "La", "Al", "Al", "Al", "Al", "N", "N", "N"],
  "frac_coords": [[0.000, 0.000, 0.000], [0.000, 0.281, 0.281], [0.000, 0.719, 0.719], [0.250, 0.500, 0.750], [0.250, 0.750, 0.500], [0.281, 0.000, 0.281], [0.281, 0.281, 0.000], [0.500, 0.250, 0.750], [0.500, 0.750, 0.250], [0.719, 0.000, 0.719], [0.719, 0.719, 0.000], [0.750, 0.250, 0.500], [0.750, 0.500, 0.250], [0.000, 0.000, 0.500], [0.000, 0.500, 0.000], [0.500, 0.000, 0.000], [0.500, 0.500, 0.500], [0.000, 0.500, 0.500], [0.500, 0.000, 0.500], [0.500, 0.500, 0.000]],
  "energy_ev_per_cell": -110.171,
  "raw_formation_energy_ev_per_atom": -0.349
}